Material: Na17AlGa11
Method: DFT, PBE-GGA
State: relaxed

abc: 9.666 9.666 9.631
angles: 109.42 109.42 109.60
Positions (direct):
Ga 0.355 0.178 0.354
Ga 0.177 0.822 0.177
Na 0.998 0.351 0.999
Ga 0.999 0.645 0.823
Na 0.281 0.687 0.687
Na 0.000 0.594 0.312
Na 0.594 0.000 0.312
Na 0.407 0.721 0.408
Ga 0.824 0.646 0.999
Na 0.648 0.648 0.647
Ga 0.825 0.001 0.646
Na 0.687 0.281 0.687
Na 0.407 0.407 0.719
Ga 0.645 0.999 0.823
Na 0.312 0.001 0.594
Ga 0.001 0.825 0.646
Na 0.001 0.001 0.351
Na 0.998 0.998 0.999
Ga 0.177 0.177 0.826
Na 0.351 0.998 0.999
Na 0.594 0.312 0.000
Ga 0.822 0.177 0.177
Na 0.312 0.594 0.000
Al 0.350 0.350 0.178
Na 0.721 0.407 0.408
Na 0.689 0.689 0.282
Ga 0.178 0.355 0.354
Na 0.001 0.312 0.594
Ga 0.646 0.824 0.999

energy of formation	-52	meV per atom
Fermi-level density of states	11.084	states/eV/cell


Material: Na3AlGa2O6
Method: DFT, PBE-GGA
State: relaxed

abc: 5.166 5.166 5.664
angles: 98.76 98.76 120.00
Positions (direct):
O 0.388 0.065 0.195
Na 0.832 0.168 0.500
Al 0.000 0.000 0.000
Na 0.168 0.832 0.500
O 0.612 0.935 0.805
O 0.065 0.388 0.195
Ga 0.667 0.333 0.000
O 0.742 0.742 0.195
Na 0.500 0.500 0.500
Ga 0.333 0.667 0.000
O 0.258 0.258 0.805
O 0.935 0.612 0.805

Fermi-level density of states	0.000	states/eV/cell
electronic total energy	-5.67	eV/atom


Material: NaAl2GaO
Method: DFT, PBE-GGA
State: relaxed

abc: 4.188 4.406 4.188
angles: 90.00 90.00 90.00
Positions (direct):
Na 0.000 0.500 0.000
O 0.000 0.000 0.000
Al 0.500 0.000 0.000
Al 0.000 0.000 0.500
Ga 0.500 0.500 0.500

Fermi-level density of states	1.141	states/eV/cell
electronic total energy	-3.89	eV/atom


Material: NaAlGaPd2
Method: DFT, PBE-GGA
State: relaxed

abc: 4.687 4.886 4.687
angles: 90.00 90.00 90.00
Positions (direct):
Ga 0.000 0.000 0.000
Na 0.000 0.500 0.000
Pd 0.500 0.000 0.000
Al 0.500 0.500 0.500
Pd 0.000 0.000 0.500

energy of formation	278	meV per atom
Fermi-level density of states	2.400	states/eV/cell


Material: Na2AlGaPt
Method: DFT, PBE-GGA
State: relaxed

abc: 5.361 4.580 5.361
angles: 90.00 90.00 90.00
Positions (direct):
Na 0.000 0.000 0.500
Al 0.000 0.000 0.000
Na 0.500 0.000 0.000
Ga 0.000 0.500 0.000
Pt 0.500 0.500 0.500

energy of formation	732	meV per atom
Fermi-level density of states	2.920	states/eV/cell


Material: Na2AlGaS
Method: DFT, PBE-GGA
State: relaxed

abc: 5.138 5.069 5.138
angles: 90.00 90.00 90.00
Positions (direct):
S 0.000 0.000 0.000
Na 0.500 0.000 0.000
Ga 0.000 0.500 0.000
Na 0.000 0.000 0.500
Al 0.500 0.500 0.500

Fermi-level density of states	3.561	states/eV/cell
electronic total energy	-2.69	eV/atom


Material: NaSc2AlGa
Method: DFT, PBE-GGA
State: relaxed

abc: 5.133 5.123 5.133
angles: 90.00 90.00 90.00
Positions (direct):
Al 0.500 0.500 0.500
Na 0.000 0.500 0.000
Sc 0.500 0.000 0.000
Ga 0.000 0.000 0.000
Sc 0.000 0.000 0.500

energy of formation	340	meV per atom
Fermi-level density of states	5.252	states/eV/cell


Material: Na2AlGaSe
Method: DFT, PBE-GGA
State: relaxed

abc: 5.704 4.978 5.704
angles: 90.00 90.00 90.00
Positions (direct):
Na 0.000 0.000 0.500
Ga 0.500 0.500 0.500
Na 0.500 0.000 0.000
Al 0.000 0.000 0.000
Se 0.000 0.500 0.000

Fermi-level density of states	4.326	states/eV/cell
electronic total energy	-2.33	eV/atom